DFT (GGA-PBE) results for a relaxed SiIr2W crystal. Values from VASP.

```
&SYSTEM
  ibrav = 0, nat = 4, ntyp = 3
/
ATOMIC_SPECIES
Si 28.09 Si.upf
Ir 192.22 Ir.upf
W 183.84 W.upf
CELL_PARAMETERS angstrom
4.6537 0.0000 0.0000
0.0000 4.6537 0.0000
0.0000 0.0000 2.7452
ATOMIC_POSITIONS angstrom
Si 0.0000 0.0000 0.0000
Ir 0.0000 2.3268 1.3726
Ir 2.3268 0.0000 1.3726
W 2.3268 2.3268 0.0000
```

## Properties
Formation energy from raw total energies   40.9 meV per atom
Total moment   0.0 μB/f.u.

***

DFT (GGA-PBE) results for a relaxed SiIr2W crystal. Values from VASP.

```
&SYSTEM
  ibrav = 0, nat = 4, ntyp = 3
/
ATOMIC_SPECIES
Si 28.09 Si.upf
Ir 192.22 Ir.upf
W 183.84 W.upf
CELL_PARAMETERS angstrom
-1.4327 2.2172 4.5514
1.4327 -2.2172 4.5514
1.4327 2.2172 -4.5514
ATOMIC_POSITIONS angstrom
Si 0.0000 0.0000 0.0000
Ir 0.0000 0.0000 4.5535
Ir 0.0000 2.2172 2.6527
W 1.4327 0.0000 2.0754
```

## Properties
Formation energy from raw total energies   -289.2 meV per atom
Total moment   0.0 μB/f.u.

***

DFT (GGA-PBE) results for a relaxed SiIrW3 crystal. Values from VASP.

```
&SYSTEM
  ibrav = 0, nat = 5, ntyp = 3
/
ATOMIC_SPECIES
Si 28.09 Si.upf
Ir 192.22 Ir.upf
W 183.84 W.upf
CELL_PARAMETERS angstrom
4.4226 0.0000 0.0000
0.0000 4.4226 0.0000
0.0000 0.0000 4.4226
ATOMIC_POSITIONS angstrom
Si 0.0000 0.0000 0.0000
Ir 2.2113 2.2113 2.2113
W 0.0000 0.0000 2.2113
W 0.0000 2.2113 0.0000
W 2.2113 0.0000 0.0000
```

## Properties
Relative energy among the computed polymorphs   0.0000 eV/atom
Formation energy from raw total energies   1313.2 meV per atom
Total moment   0.0 μB/f.u.

***

DFT (GGA-PBE) results for a relaxed SiIr2W crystal. Values from VASP.

```
&SYSTEM
  ibrav = 0, nat = 4, ntyp = 3
/
ATOMIC_SPECIES
Si 28.09 Si.upf
Ir 192.22 Ir.upf
W 183.84 W.upf
CELL_PARAMETERS angstrom
2.7998 0.0000 0.0000
0.0000 4.0861 0.0000
-1.3993 0.0000 5.0686
ATOMIC_POSITIONS angstrom
Si 0.0000 0.0000 0.0000
Ir -0.7075 2.0431 3.8469
Ir 2.1080 2.0431 1.2218
W 0.7003 0.0000 2.5343
```

## Properties
Formation energy from raw total energies   -261.3 meV per atom
Total moment   0.0 μB/f.u.

***

DFT (GGA-PBE) results for a relaxed SiIrW2 crystal. Values from VASP.

```
&SYSTEM
  ibrav = 0, nat = 4, ntyp = 3
/
ATOMIC_SPECIES
Si 28.09 Si.upf
Ir 192.22 Ir.upf
W 183.84 W.upf
CELL_PARAMETERS angstrom
2.8320 0.0000 0.0000
0.0000 2.8320 0.0000
0.0000 0.0000 7.3473
ATOMIC_POSITIONS angstrom
Si 0.0000 0.0000 0.0000
Ir 1.4160 1.4160 5.8065
W 0.0000 0.0000 3.8052
W 1.4160 1.4160 1.7267
```

## Properties
Formation energy from raw total energies   -60.2 meV per atom
Total moment   0.0 μB/f.u.

***

DFT (GGA-PBE) results for a relaxed SiIrW2 crystal. Values from VASP.

```
&SYSTEM
  ibrav = 0, nat = 4, ntyp = 3
/
ATOMIC_SPECIES
Si 28.09 Si.upf
Ir 192.22 Ir.upf
W 183.84 W.upf
CELL_PARAMETERS angstrom
2.7703 0.0000 0.0000
0.0000 4.1116 0.0000
-0.5451 0.0000 5.2054
ATOMIC_POSITIONS angstrom
Si 0.0000 0.0000 0.0000
Ir -0.2726 0.0000 2.6027
W 1.1110 2.0558 1.2432
W 1.1141 2.0558 3.9622
```

## Properties
Formation energy from raw total energies   -119.5 meV per atom
Total moment   0.0 μB/f.u.

***

DFT (GGA-PBE) results for a relaxed SiIrW2 crystal. Values from VASP.

```
&SYSTEM
  ibrav = 0, nat = 8, ntyp = 3
/
ATOMIC_SPECIES
Si 28.09 Si.upf
Ir 192.22 Ir.upf
W 183.84 W.upf
CELL_PARAMETERS angstrom
-1.8624 1.8624 9.3525
1.8624 -1.8624 9.3525
1.8624 1.8624 -9.3525
ATOMIC_POSITIONS angstrom
Si 0.0000 0.0000 0.0000
Si 0.0000 1.8624 4.6763
Ir 1.8624 0.0000 4.6763
Ir 0.0000 0.0000 9.3525
W 2.7937 0.8781 -2.3381
W 0.8781 0.9312 2.3381
W -0.9312 0.9844 7.0144
W 0.9844 0.9312 11.6907
```

## Properties
Formation energy from raw total energies   438.6 meV per atom
Total moment   0.0 μB/f.u.

***

DFT (GGA-PBE) results for a relaxed SiIr2W crystal. Values from VASP.

```
&SYSTEM
  ibrav = 0, nat = 4, ntyp = 3
/
ATOMIC_SPECIES
Si 28.09 Si.upf
Ir 192.22 Ir.upf
W 183.84 W.upf
CELL_PARAMETERS angstrom
2.8248 0.0000 0.0000
0.0000 2.8248 0.0000
0.0000 0.0000 7.1010
ATOMIC_POSITIONS angstrom
Si 0.0000 0.0000 0.0000
Ir 1.4124 1.4124 1.5184
Ir 1.4124 1.4124 5.5826
W 0.0000 0.0000 3.5505
```

## Properties
Formation energy from raw total energies   -376.1 meV per atom
Total moment   0.0 μB/f.u.